Here is a relaxed structure of Cs2FeGeO4 from the Alexandria database. Energies are from PBE+U.

Geometry as extended XYZ:
```
16
Lattice="-3.2308 4.0731 -1.1769 -5.8500 -0.0841 3.6968 3.1397 8.0219 7.0724" Properties=species:S:1:pos:R:3 pbc="T T T"
Ge -2.1628 4.9872 5.0903
Cs -5.4295 4.9453 1.8416
O -1.1500 3.9522 4.0181
O -2.6282 3.0716 0.4838
O -4.7287 10.7244 8.5926
Ge -1.6154 2.0366 -0.5885
Cs -2.1270 9.1022 7.1621
O -3.9547 5.0417 4.9076
Fe 0.0000 0.0000 0.0000
Cs -1.5795 6.1516 1.4833
O -4.9906 8.3103 5.5015
Cs 1.4885 5.9434 4.4121
Fe -3.7782 7.0238 4.5019
O 1.1484 8.3279 6.8170
O -1.7869 6.7177 4.7573
O -5.6736 1.8980 3.2910
```

The calculation puts the total energy at -44.26 eV/f.u.